This record from Alexandria via LeMat-Bulk describes crystalline NaCa2La at its relaxed geometry. The functional is PBE.

abc: 3.8044 3.8044 12.7794
angles: 81.44 81.44 60.00
Last column: nearest neighbours and their distance in Å.
Element x y z (fractional)
Ca: 0.7508 0.7508 0.7475  6 Ca 3.80, 3 La 3.81, 3 Na 3.86
Ca: 0.2492 0.2492 0.2525  6 Ca 3.80, 3 La 3.81, 3 Na 3.86
Na: 0.0000 0.0000 0.0000  6 Na 3.80, 6 Ca 3.86
La: 0.5000 0.5000 0.5000  6 La 3.80, 6 Ca 3.81

Properties
Energy above the lowest structure with this stoichiometry in meV/atom: 0.0
Energy of formation from the pure elements in eV per atom: 0.068
Raw total energy in hartree per atom: -0.0917